No. 1
First-principles (GGA-PBEsol) data for a relaxed structure of LiCd3, as listed in the Alexandria database.

Properties
As for the formation enthalpy at 0 K: -15 kJ/mol of atoms. Its space group is Pmm2.

POSCAR file:
```
LiCd3
1.0
3.127 0.000 0.000
0.000 4.721 0.000
0.000 0.000 5.242
Cd Li
3 1
direct
0.000 0.000 0.012
0.500 0.500 0.825
0.500 0.000 0.492
0.000 0.500 0.338
```

---

No. 2
First-principles (GGA-PBEsol) data for a relaxed structure of LiCd3, as listed in the Alexandria database.

Properties
As for the formation enthalpy at 0 K: -20 kJ/mol of atoms. Its space group is P6_3/mmc.

POSCAR file:
```
LiCd3
1.0
-2.709 3.901 0.907
-2.460 -0.434 -5.484
-2.531 -2.843 4.672
Cd Li
6 2
direct
0.250 0.339 0.169
0.750 0.169 0.831
0.250 0.831 0.169
0.750 0.661 0.831
0.750 0.169 0.339
0.250 0.831 0.661
0.750 0.667 0.333
0.250 0.333 0.667
```

---

No. 3
First-principles (GGA-PBEsol) data for a relaxed structure of Li3Cd, as listed in the Alexandria database.

Properties
As for the formation enthalpy at 0 K: -15 kJ/mol of atoms. Its space group is Pmmm.

POSCAR file:
```
Li3Cd
1.0
-1.487 -1.278 2.248
-2.448 -1.922 -2.713
3.726 -4.564 -0.129
Li Cd
3 1
direct
0.500 0.500 0.236
0.500 0.500 0.764
0.000 0.000 0.500
0.000 0.000 0.000
```

---

No. 4
First-principles (GGA-PBEsol) data for a relaxed structure of Li2Cd, as listed in the Alexandria database.

Properties
As for the formation enthalpy at 0 K: -13 kJ/mol of atoms. Its space group is I4/mcm.

POSCAR file:
```
Li2Cd
1.0
-1.171 3.072 4.286
-4.077 -2.762 -2.220
3.512 -3.709 1.757
Li Cd
4 2
direct
0.343 0.843 0.185
0.157 0.343 0.500
0.843 0.657 0.500
0.657 0.157 0.815
0.250 0.250 0.000
0.750 0.750 0.000
```

---

No. 5
First-principles (GGA-PBEsol) data for a relaxed structure of Li2Cd, as listed in the Alexandria database.

Properties
As for the formation enthalpy at 0 K: -19 kJ/mol of atoms. Its space group is I4_1/amd.

POSCAR file:
```
Li2Cd
1.0
-4.088 0.859 -0.389
-0.942 -3.750 1.628
2.468 6.298 10.539
Li Cd
8 4
direct
0.414 0.414 0.828
0.000 0.500 0.001
0.664 0.164 0.328
0.250 0.250 0.499
0.500 0.000 0.999
0.586 0.586 0.172
0.750 0.750 0.501
0.836 0.336 0.672
0.331 0.831 0.663
0.081 0.081 0.163
0.919 0.919 0.837
0.169 0.669 0.337
```

---

No. 6
First-principles (GGA-PBEsol) data for a relaxed structure of LiCd2, as listed in the Alexandria database.

Properties
As for the formation enthalpy at 0 K: -13 kJ/mol of atoms. Its space group is P6_3/mmc.

POSCAR file:
```
LiCd2
1.0
-2.856 3.990 -2.894
-2.818 -3.692 3.298
0.805 5.713 7.084
Cd Li
8 4
direct
0.000 0.000 0.000
0.000 0.000 0.500
0.343 0.172 0.250
0.828 0.172 0.250
0.172 0.343 0.750
0.828 0.657 0.250
0.172 0.828 0.750
0.657 0.828 0.750
0.333 0.667 0.438
0.333 0.667 0.062
0.667 0.333 0.562
0.667 0.333 0.938
```

---

No. 7
First-principles (GGA-PBEsol) data for a relaxed structure of Li3MgCd, as listed in the Alexandria database.

Properties
As for the formation enthalpy at 0 K: 20 kJ/mol of atoms. Its space group is Pm-3m.

POSCAR file:
```
Li3MgCd
1.0
-1.997 2.111 -3.987
-4.500 -0.627 1.922
0.316 4.415 2.179
Li Cd Mg
3 1 1
direct
0.000 0.500 0.000
0.000 0.000 0.500
0.500 0.000 0.000
0.000 0.000 0.000
0.500 0.500 0.500
```

---

No. 8
First-principles (GGA-PBEsol) data for a relaxed structure of LiMgCd4, as listed in the Alexandria database.

Properties
As for the formation enthalpy at 0 K: -9 kJ/mol of atoms. Its space group is F-43m.

POSCAR file:
```
LiMgCd4
1.0
-3.242 -4.513 -1.045
1.716 -3.919 -3.697
1.590 -5.108 1.830
Cd Li Mg
4 1 1
direct
0.375 0.375 0.874
0.375 0.874 0.375
0.375 0.375 0.375
0.874 0.375 0.375
0.750 0.750 0.750
0.000 0.000 0.000
```

---

No. 9
First-principles (GGA-PBEsol) data for a relaxed structure of LiMg2Cd2, as listed in the Alexandria database.

Properties
As for the formation enthalpy at 0 K: -10 kJ/mol of atoms. Its space group is P4/mbm.

POSCAR file:
```
LiMg2Cd2
1.0
-0.257 -3.197 -0.525
7.862 -0.938 1.859
-1.980 -1.122 7.808
Mg Cd Li
4 4 2
direct
0.500 0.170 0.670
0.500 0.330 0.170
0.500 0.670 0.830
0.500 0.830 0.330
0.000 0.129 0.371
0.000 0.871 0.629
0.000 0.629 0.129
0.000 0.371 0.871
0.000 0.500 0.500
0.000 0.000 0.000
```

---

No. 10
First-principles (GGA-PBEsol) data for a relaxed structure of LiMgCdSi2, as listed in the Alexandria database.

Properties
As for the formation energy without anion corrections: 0.527 eV/atom. Its space group is P4/mmm.

POSCAR file:
```
LiMgCdSi2
1.0
4.462 0.000 0.000
0.000 4.462 0.000
0.000 0.000 4.664
Si Li Cd Mg
2 1 1 1
direct
0.000 0.500 0.000
0.500 0.000 0.000
0.000 0.000 0.000
0.500 0.500 0.500
0.000 0.000 0.500
```

---

No. 11
First-principles (GGA-PBEsol) data for a relaxed structure of Li3MnCd, as listed in the Alexandria database.

Properties
As for the formation enthalpy at 0 K: 72 kJ/mol of atoms. Its space group is Pm-3m.

POSCAR file:
```
Li3MnCd
1.0
4.738 0.000 0.000
0.000 4.738 0.000
0.000 0.000 4.738
Li Mn Cd
3 1 1
direct
0.000 0.000 0.500
0.000 0.500 0.000
0.500 0.000 0.000
0.000 0.000 0.000
0.500 0.500 0.500
```

---

No. 12
First-principles (GGA-PBEsol) data for a relaxed structure of LiMn2Cd, as listed in the Alexandria database.

Properties
As for the formation enthalpy at 0 K: 54 kJ/mol of atoms. Its space group is Cmmm.

POSCAR file:
```
LiMn2Cd
1.0
-1.180 2.123 -1.285
-0.813 -0.236 2.614
6.991 5.499 2.670
Mn Cd Li
2 1 1
direct
0.000 0.000 0.757
0.000 0.000 0.243
0.500 0.500 0.500
0.500 0.500 0.000
```

---

no.,total magnetization (Bohr magnetons per cell)
1,0.0
2,0.0
3,0.0
4,0.0
5,0.0
6,0.0
7,0.0
8,0.0
9,0.0
10,0.0
11,4.2
12,7.4